1.
Entry from Alexandria: Pa2Ge3Pd2 after structural relaxation (PBE).

Unit cell a=4.300 b=18.392 c=6.917 alpha=90.00 beta=90.00 gamma=90.00
Space group Cmcm (No. 63)
Unique sites:
1 Pa 0.000 0.051 0.250
2 Pa 0.000 0.154 0.750
3 Ge 0.000 0.217 0.250
4 Ge 0.000 0.437 0.062
5 Pd 0.000 0.306 0.546

Values from the calculation:
The value obtained for the raw total energy is -6.7693 eV per atom. The formation enthalpy at 0 K is -0.594 eV per atom. For the magnetization, the calculation gives 2.50 Bohr magnetons per cell.

=====

2.
Entry from Alexandria: LiSc2Rh after structural relaxation (PBE).

Unit cell a=3.2498 b=3.2498 c=29.4057 alpha=90.00 beta=90.00 gamma=120.00
Space group R-3m (No. 166, hexagonal axes)
Unique sites:
1 Li 0.0000 0.0000 0.0000
2 Sc 0.0000 0.0000 0.1027
3 Rh 0.0000 0.0000 0.5000

Values from the calculation:
The value obtained for the raw total energy is -5.6532 eV per atom. The formation enthalpy at 0 K is -0.171 eV per atom. For the magnetization, the calculation gives 0.00 Bohr magnetons per cell.

=====

3.
Entry from Alexandria: YHo3Pu3Se8 after structural relaxation (PBE).

Unit cell a=8.1739 b=8.1739 c=20.1516 alpha=90.00 beta=90.00 gamma=120.00
Space group R-3m (No. 166, hexagonal axes)
Unique sites:
1 Y 0.0000 0.0000 0.0000
2 Ho 0.0000 0.5000 0.0000
3 Pu 0.0000 0.5000 0.5000
4 Se 0.0000 0.0000 0.2519
5 Se 0.0057 0.5028 0.2516

Values from the calculation:
For the formation energy from raw total energies, the calculation gives -1.7369 eV per atom. The value obtained for the raw total energy is -7.8082 eV per atom. For the magnetization, the calculation gives 52.11 Bohr magnetons per cell.

=====

4.
Entry from Alexandria: CaGaSn2Cl after structural relaxation (PBE).

Unit cell a=5.203 b=5.203 c=6.108 alpha=90.00 beta=90.00 gamma=90.00
Space group P4/mmm (No. 123)
Unique sites:
1 Ca 0.000 0.000 0.000
2 Ga 0.000 0.000 0.500
3 Sn 0.000 0.500 0.500
4 Cl 0.500 0.500 0.000

Values from the calculation:
For the formation energy from raw total energies, the calculation gives -0.1760 eV per atom. The value obtained for the raw total energy is -3.1521 eV per atom. For the magnetization, the calculation gives 0.00 Bohr magnetons per cell.

=====

5.
Entry from Alexandria: BaGd2Th after structural relaxation (PBE).

Unit cell a=3.684 b=3.684 c=11.050 alpha=90.00 beta=90.00 gamma=90.00
Space group P4/mmm (No. 123)
Unique sites:
1 Ba 0.000 0.000 0.000
2 Gd 0.500 0.500 0.290
3 Th 0.000 0.000 0.500

Values from the calculation:
The value obtained for the raw total energy is -9.2681 eV per atom. The formation enthalpy at 0 K is 0.108 eV per atom. For the magnetization, the calculation gives 14.63 Bohr magnetons per cell.

=====

6.
Entry from Alexandria: KCa2Au after structural relaxation (PBE).

Unit cell a=13.057 b=4.000 c=7.065 alpha=90.00 beta=121.17 gamma=90.00
Space group Cm (No. 8)
Unique sites:
1 K 0.000 0.000 0.000
2 Ca 0.133 0.500 0.632
3 Ca 0.322 0.500 0.311
4 Au 0.286 0.000 0.578

Values from the calculation:
The value obtained for the raw total energy is -2.3288 eV per atom. The formation enthalpy at 0 K is -0.234 eV per atom. For the magnetization, the calculation gives 0.00 Bohr magnetons per cell.

=====

7.
Entry from Alexandria: Al3CuAu after structural relaxation (PBE).

Unit cell a=4.542 b=4.542 c=4.542 alpha=90.00 beta=90.00 gamma=90.00
Space group Pm-3m (No. 221)
Unique sites:
1 Al 0.000 0.000 0.500
2 Cu 0.000 0.000 0.000
3 Au 0.500 0.500 0.500

Values from the calculation:
The value obtained for the raw total energy is -3.5480 eV per atom. The formation enthalpy at 0 K is 0.172 eV per atom. For the magnetization, the calculation gives 0.00 Bohr magnetons per cell.

=====

8.
Entry from Alexandria: P2PdPbO6 after structural relaxation (PBE).

Unit cell a=5.4265 b=5.4265 c=18.1555 alpha=90.00 beta=90.00 gamma=120.00
Space group R-3 (No. 148, hexagonal axes)
Unique sites:
1 P 0.0000 0.0000 0.2407
2 Pd 0.0000 0.0000 0.0000
3 Pb 0.0000 0.0000 0.5000
4 O 0.0308 0.7373 0.7442

Values from the calculation:
For the formation energy from raw total energies, the calculation gives -1.2767 eV per atom. The value obtained for the raw total energy is -6.2237 eV per atom. For the magnetization, the calculation gives 0.01 Bohr magnetons per cell.

=====

9.
Entry from Alexandria: Ti2Zn6Pt after structural relaxation (PBE).

Unit cell a=7.4435 b=7.4435 c=8.5049 alpha=90.00 beta=90.00 gamma=120.00
Space group R-3m (No. 166, hexagonal axes)
Unique sites:
1 Ti 0.0000 0.0000 0.1582
2 Zn 0.0000 0.3334 0.0000
3 Pt 0.0000 0.0000 0.5000

Values from the calculation:
The value obtained for the raw total energy is -3.4788 eV per atom. The formation enthalpy at 0 K is -0.204 eV per atom. For the magnetization, the calculation gives 4.61 Bohr magnetons per cell.

=====

10.
Entry from Alexandria: CsCuP after structural relaxation (PBE).

Unit cell a=3.9588 b=3.9588 c=5.8889 alpha=90.00 beta=90.00 gamma=120.00
Space group P-6m2 (No. 187)
Unique sites:
1 Cs 0.0000 0.0000 0.0000
2 Cu 0.6667 0.3333 0.5000
3 P 0.3333 0.6667 0.5000

Values from the calculation:
The value obtained for the raw total energy is -3.6204 eV per atom. The formation enthalpy at 0 K is -0.167 eV per atom. For the magnetization, the calculation gives 0.00 Bohr magnetons per cell.

=====

11.
Entry from Alexandria: Sc2TaH after structural relaxation (PBE).

Unit cell a=6.214 b=6.214 c=7.004 alpha=90.00 beta=90.00 gamma=90.00
Space group I-42d (No. 122)
Unique sites:
1 Sc 0.124 0.250 0.125
2 Ta 0.000 0.000 0.500
3 H 0.000 0.000 0.000

Values from the calculation:
The value obtained for the raw total energy is -6.7948 eV per atom. For the magnetization, the calculation gives 0.00 Bohr magnetons per cell.

=====

12.
Entry from Alexandria: TiNiGeRu after structural relaxation (PBE).

Unit cell a=3.911 b=3.911 c=7.118 alpha=90.00 beta=90.00 gamma=90.00
Space group I-4m2 (No. 119)
Unique sites:
1 Ti 0.000 0.000 0.000
2 Ni 0.000 0.500 0.750
3 Ge 0.000 0.000 0.500
4 Ru 0.000 0.500 0.250

Values from the calculation:
The value obtained for the raw total energy is -7.4149 eV per atom. The formation enthalpy at 0 K is -0.523 eV per atom. For the magnetization, the calculation gives 0.00 Bohr magnetons per cell.

=====

13.
Entry from Alexandria: Na2ZrPaO5 after structural relaxation (PBE).

Unit cell a=4.180 b=4.180 c=8.527 alpha=90.00 beta=90.00 gamma=90.00
Space group P4/mmm (No. 123)
Unique sites:
1 Na 0.000 0.000 0.243
2 Zr 0.500 0.500 0.500
3 Pa 0.500 0.500 0.000
4 O 0.000 0.000 0.500
5 O 0.000 0.500 0.000
6 O 0.500 0.500 0.262

Values from the calculation:
For the formation energy from raw total energies, the calculation gives -2.3933 eV per atom. The value obtained for the raw total energy is -7.4458 eV per atom. For the magnetization, the calculation gives 0.00 Bohr magnetons per cell.

=====

14.
Entry from Alexandria: Li2MgBe after structural relaxation (PBE).

Unit cell a=3.826 b=3.826 c=8.572 alpha=90.00 beta=90.00 gamma=90.00
Space group I4/mmm (No. 139)
Unique sites:
1 Li 0.000 0.500 0.250
2 Mg 0.000 0.000 0.000
3 Be 0.000 0.000 0.500

Values from the calculation:
The value obtained for the raw total energy is -2.0956 eV per atom. The formation enthalpy at 0 K is 0.192 eV per atom. For the magnetization, the calculation gives 0.00 Bohr magnetons per cell.

=====

15.
Entry from Alexandria: La3PmTh2Se6 after structural relaxation (PBE).

Unit cell a=7.374 b=12.712 c=7.389 alpha=90.00 beta=109.28 gamma=90.00
Space group C2/m (No. 12)
Unique sites:
1 La 0.000 0.000 0.000
2 La 0.000 0.334 0.000
3 Pm 0.000 0.500 0.500
4 Th 0.000 0.167 0.500
5 Se 0.247 0.334 0.744
6 Se 0.249 0.000 0.743

Values from the calculation:
For the formation energy from raw total energies, the calculation gives -1.8134 eV per atom. The value obtained for the raw total energy is -6.4201 eV per atom. For the magnetization, the calculation gives 0.00 Bohr magnetons per cell.

=====

16.
Entry from Alexandria: LiAc8La5 after structural relaxation (PBE).

Unit cell a=10.332 b=10.332 c=10.927 alpha=90.00 beta=90.00 gamma=90.00
Space group I-4 (No. 82)
Unique sites:
1 Li 0.000 0.000 0.000
2 Ac 0.068 0.827 0.346
3 Ac 0.081 0.698 0.006
4 La 0.000 0.500 0.250
5 La 0.094 0.701 0.676

Values from the calculation:
The value obtained for the raw total energy is -4.0493 eV per atom. The formation enthalpy at 0 K is 0.195 eV per atom. For the magnetization, the calculation gives 0.00 Bohr magnetons per cell.

=====

17.
Entry from Alexandria: Sr2PrGe3Au12 after structural relaxation (PBE).

Unit cell a=9.2575 b=9.2575 c=18.5797 alpha=90.00 beta=90.00 gamma=120.00
Space group R-3m (No. 166, hexagonal axes)
Unique sites:
1 Sr 0.0000 0.0000 0.0981
2 Pr 0.0000 0.0000 0.5000
3 Ge 0.0000 0.5000 0.0000
4 Au 0.0208 0.5104 0.3229
5 Au 0.0268 0.5134 0.8618

Values from the calculation:
The value obtained for the raw total energy is -3.5602 eV per atom. The formation enthalpy at 0 K is -0.153 eV per atom. For the magnetization, the calculation gives 0.00 Bohr magnetons per cell.

=====

18.
Entry from Alexandria: PtC2O2 after structural relaxation (PBE).

Unit cell a=6.563 b=6.563 c=2.383 alpha=90.00 beta=90.00 gamma=90.00
Space group P4/mbm (No. 127)
Unique sites:
1 Pt 0.000 0.000 0.000
2 C 0.207 0.293 0.000
3 O 0.125 0.375 0.500

Values from the calculation:
For the formation energy from raw total energies, the calculation gives 0.6541 eV per atom. The value obtained for the raw total energy is -6.2269 eV per atom. For the magnetization, the calculation gives 0.00 Bohr magnetons per cell.

=====

19.
Entry from Alexandria: Y3HgN after structural relaxation (PBE).

Unit cell a=6.9338 b=6.9338 c=21.9008 alpha=90.00 beta=90.00 gamma=120.00
Space group R-3c (No. 167, hexagonal axes)
Unique sites:
1 Y 0.0000 0.3068 0.2500
2 Hg 0.0000 0.0000 0.0000
3 N 0.0000 0.0000 0.2500

Values from the calculation:
For the formation energy from raw total energies, the calculation gives -0.4811 eV per atom. The value obtained for the raw total energy is -6.0849 eV per atom. For the magnetization, the calculation gives 0.00 Bohr magnetons per cell.

=====

20.
Entry from Alexandria: ErTh2MnC4 after structural relaxation (PBE).

Unit cell a=3.584 b=11.910 c=12.484 alpha=90.00 beta=90.00 gamma=90.00
Space group Cmcm (No. 63)
Unique sites:
1 Er 0.000 0.112 0.250
2 Th 0.000 0.366 0.044
3 Mn 0.000 0.173 0.750
4 C 0.000 0.000 0.000
5 C 0.000 0.272 0.640
6 C 0.000 0.398 0.250

Values from the calculation:
The value obtained for the raw total energy is -8.1651 eV per atom. The formation enthalpy at 0 K is 0.018 eV per atom. For the magnetization, the calculation gives 4.62 Bohr magnetons per cell.

=====

21.
Entry from Alexandria: BaCr2BiPb after structural relaxation (PBE).

Unit cell a=5.774 b=5.774 c=6.320 alpha=90.00 beta=90.00 gamma=90.00
Space group P4/mmm (No. 123)
Unique sites:
1 Ba 0.000 0.000 0.000
2 Cr 0.000 0.500 0.000
3 Bi 0.000 0.000 0.500
4 Pb 0.500 0.500 0.500

Values from the calculation:
The value obtained for the raw total energy is -4.1573 eV per atom. The formation enthalpy at 0 K is 1.594 eV per atom. For the magnetization, the calculation gives 10.20 Bohr magnetons per cell.

=====

22.
Entry from Alexandria: Na2CaTl4 after structural relaxation (PBE).

Unit cell a=6.121 b=12.389 c=5.785 alpha=90.00 beta=90.00 gamma=90.00
Space group Cmmm (No. 65)
Unique sites:
1 Na 0.000 0.115 0.000
2 Ca 0.000 0.500 0.500
3 Tl 0.000 0.200 0.500
4 Tl 0.000 0.363 0.000

Values from the calculation:
The value obtained for the raw total energy is -2.0466 eV per atom. The formation enthalpy at 0 K is -0.032 eV per atom. For the magnetization, the calculation gives 0.00 Bohr magnetons per cell.

=====

23.
Entry from Alexandria: AcSm2Cd3 after structural relaxation (PBE).

Unit cell a=3.891 b=3.891 c=11.769 alpha=90.00 beta=90.00 gamma=90.00
Space group P4/mmm (No. 123)
Unique sites:
1 Ac 0.000 0.000 0.000
2 Sm 0.000 0.000 0.342
3 Cd 0.500 0.500 0.190
4 Cd 0.500 0.500 0.500

Values from the calculation:
The value obtained for the raw total energy is -3.0148 eV per atom. The formation enthalpy at 0 K is -0.299 eV per atom. For the magnetization, the calculation gives 0.73 Bohr magnetons per cell.

=====

24.
Entry from Alexandria: Y3Th2Os2 after structural relaxation (PBE).

Unit cell a=12.345 b=3.937 c=8.390 alpha=90.00 beta=110.74 gamma=90.00
Space group C2/m (No. 12)
Unique sites:
1 Y 0.000 0.000 0.000
2 Y 0.126 0.000 0.423
3 Th 0.161 0.500 0.809
4 Os 0.185 0.500 0.203

Values from the calculation:
The value obtained for the raw total energy is -8.3362 eV per atom. The formation enthalpy at 0 K is -0.237 eV per atom. For the magnetization, the calculation gives 0.00 Bohr magnetons per cell.